Entry from Alexandria: crystalline LaSb2SN at its relaxed geometry (PBE).

Structure (extended XYZ):
```
5
Lattice="-4.173 4.636 0.942 -4.072 -3.617 -0.235 0.425 -0.884 6.232" Properties=species:S:1:pos:R:3 pbc="T T T"
N -3.910 0.068 3.469
Sb -2.086 2.318 0.471
Sb 0.212 -0.442 3.116
S -2.036 -1.808 -0.118
La 0.000 0.000 0.000
```

Output
D(E_F)   5.7 states/eV/f.u.
M_tot   1.10 μB per formula unit
E_form (uncorrected)   1204 meV/atom
Crystal system   tetragonal
DFT total energy   -19.61 eV for the cell shown